Compound: LaNd2Sn3Pt3
Source: the Open Quantum Materials Database
Functional: GGA-PBE
Structure: relaxed

size of the total moment: 0.0 μB/f.u.
E: -6.02 eV/atom

Cell lengths 4.151, 7.673, 7.673 Å; angles 120.01, 90.00, 90.00 degrees
Sites, in units of the cell vectors:
La 0.000 0.000 0.000
Nd 0.000 0.175 0.587
Nd 0.000 0.587 0.175
Sn 0.500 0.337 0.337
Sn 0.500 0.583 0.837
Sn 0.500 0.837 0.583
Pt 0.000 0.585 0.585
Pt 0.500 0.252 0.918
Pt 0.500 0.918 0.252